1.
Density functional theory data (GGA-PBE) for a geometry-optimized SrSnAu3 structure.

Computed properties:
Magnetic moment: 0.00 μB per formula unit
Excess energy over the best structure of this formula in the dataset: 0.000 eV per atom
Formation enthalpy at 0 K: -0.498 eV per atom

a b c (Å): 6.1224 6.1224 6.1224
angles (deg): 131.54 131.54 70.96
Closest atoms and distances in Å follow each position.
Sites, in units of the cell vectors:
Sr1 0.0000 0.0000 0.0000  13 Au 3.50-3.79, 5 Sn 3.64-3.80
Sn1 0.3652 0.3652 0.0000  5 Au 2.66-2.74
Au1 0.2555 0.7555 0.5000  2 Sn 2.74, 2 Au 2.80
Au2 0.6319 0.6319 0.0000  1 Sn 2.66, 4 Au 2.80
Au3 0.7555 0.2555 0.5000  2 Sn 2.74, 2 Au 2.80

---

2.
Density functional theory data (GGA-PBE) for a geometry-optimized BaSrRu2 structure.

Computed properties:
Magnetic moment: 3.28 μB per formula unit
Excess energy over the best structure of this formula in the dataset: 0.751 eV per atom
Formation enthalpy at 0 K: 0.935 eV per atom

a b c (Å): 5.1707 5.1707 5.1707
angles (deg): 60.00 60.00 60.00
Closest atoms and distances in Å follow each position.
Sites, in units of the cell vectors:
Ba1 0.0000 0.0000 0.0000  4 Ru 3.17, 4 Sr 3.17
Sr1 0.2500 0.2500 0.2500  4 Ba 3.17, 4 Ru 3.17
Ru1 0.5000 0.5000 0.5000  4 Ru 3.17, 4 Sr 3.17
Ru2 0.7500 0.7500 0.7500  4 Ba 3.17, 4 Ru 3.17

---

3.
Density functional theory data (GGA-PBE) for a geometry-optimized CsCaLaO3 structure.

Computed properties:
Magnetic moment: 0.06 μB per formula unit
Formation energy (no corrections): -15.3 eV per formula unit

a b c (Å): 8.2545 3.7235 10.0774
angles (deg): 90.00 93.77 90.00
Closest atoms and distances in Å follow each position.
Sites, in units of the cell vectors:
Cs1 0.1259 0.2500 0.1977  4 O 3.06-3.20
Cs2 0.8741 0.7500 0.8023  4 O 3.06-3.20
Ca1 0.1460 0.2500 0.5618  4 O 2.24-2.30
Ca2 0.8540 0.7500 0.4382  4 O 2.24-2.30
La1 0.4005 0.7500 0.8616  5 O 2.27-2.50
La2 0.5995 0.2500 0.1384  5 O 2.27-2.50
O1 0.1309 0.7500 0.4384  3 Ca 2.24-2.29
O2 0.2476 0.2500 0.7794  1 Ca 2.30, 2 La 2.37
O3 0.4028 0.7500 0.0872  3 La 2.27-2.50
O4 0.5972 0.2500 0.9128  3 La 2.27-2.50
O5 0.7524 0.7500 0.2206  1 Ca 2.30, 2 La 2.37
O6 0.8691 0.2500 0.5616  3 Ca 2.24-2.29

---

4.
Density functional theory data (GGA-PBE) for a geometry-optimized LiAlSi3O8 structure.

Computed properties:
Magnetic moment: 1.04 μB per formula unit
Formation energy (no corrections): -24.4 eV per formula unit
Excess energy over the best structure of this formula in the dataset: 0.822 eV per atom

a b c (Å): 6.7694 7.2466 8.0727
angles (deg): 112.21 106.29 92.40
Closest atoms and distances in Å follow each position.
Sites, in units of the cell vectors:
Li1 0.1209 0.0482 0.1747  4 O 1.95-2.18
Li2 0.8791 0.9518 0.8253  4 O 1.95-2.18
Al1 0.4018 0.7730 0.6509  3 O 1.76-1.93
Al2 0.5982 0.2270 0.3491  3 O 1.76-1.93
Si1 0.0769 0.8432 0.4601  3 O 1.66-1.72
Si2 0.2077 0.3392 0.9422  3 O 1.58-1.66
Si3 0.4341 0.7601 0.0592  3 O 1.60-1.65
Si4 0.5659 0.2399 0.9408  3 O 1.60-1.65
Si5 0.7923 0.6608 0.0578  3 O 1.58-1.66
Si6 0.9231 0.1568 0.5399  3 O 1.66-1.72
O1 0.0708 0.3415 0.7403  2 Si 1.64-1.66
O2 0.0805 0.0525 0.4084  2 Si 1.71-1.72
O3 0.1088 0.1936 0.0130  1 Si 1.58
O4 0.3043 0.4810 0.4510  1 O 1.34
O5 0.3086 0.5778 0.0857  2 Si 1.65-1.66
O6 0.3686 0.7315 0.8434  1 Si 1.60, 1 Al 1.76
O7 0.4057 0.3372 0.4830  1 O 1.34
O8 0.4351 0.9752 0.2221  1 Si 1.61
O9 0.5649 0.0248 0.7779  1 Si 1.61
O10 0.5943 0.6628 0.5170  1 O 1.34
O11 0.6314 0.2685 0.1566  1 Si 1.60, 1 Al 1.76
O12 0.6914 0.4222 0.9143  2 Si 1.65-1.66
O13 0.6957 0.5190 0.5490  1 O 1.34
O14 0.8912 0.8064 0.9870  1 Si 1.58
O15 0.9195 0.9475 0.5916  2 Si 1.71-1.72
O16 0.9292 0.6585 0.2597  2 Si 1.64-1.66

---

5.
Density functional theory data (GGA-PBE) for a geometry-optimized Ti3Mn2Co2 structure.

Computed properties:
Magnetic moment: 2.79 μB per formula unit
Formation enthalpy at 0 K: -0.221 eV per atom

a b c (Å): 6.4969 6.4969 6.4969
angles (deg): 37.22 37.22 37.22
Closest atoms and distances in Å follow each position.
Sites, in units of the cell vectors:
Ti1 0.0000 0.0000 0.0000  6 Mn 2.55, 2 Co 2.64
Ti2 0.4267 0.4267 0.4267  4 Mn 2.53-2.57, 3 Co 2.58, 1 Ti 2.66
Ti3 0.5733 0.5733 0.5733  4 Mn 2.53-2.57, 3 Co 2.58, 1 Ti 2.66
Mn1 0.2848 0.2848 0.2848  1 Co 2.52, 7 Ti 2.53-2.57
Mn2 0.7152 0.7152 0.7152  1 Co 2.52, 7 Ti 2.53-2.57
Co1 0.1458 0.1458 0.1458  3 Co 2.51, 1 Mn 2.52, 4 Ti 2.58-2.64
Co2 0.8542 0.8542 0.8542  3 Co 2.51, 1 Mn 2.52, 4 Ti 2.58-2.64

---

6.
Density functional theory data (GGA-PBE) for a geometry-optimized Sc2ReAs2 structure.

Computed properties:
Magnetic moment: 0.00 μB per formula unit
Formation enthalpy at 0 K: -0.723 eV per atom

a b c (Å): 6.7062 6.7062 3.8627
angles (deg): 90.00 90.00 90.00
Closest atoms and distances in Å follow each position.
Sites, in units of the cell vectors:
Sc1 0.1657 0.3343 0.0000  6 As 2.64-2.84
Sc2 0.3343 0.8343 0.0000  6 As 2.64-2.84
Sc3 0.6657 0.1657 0.0000  6 As 2.64-2.84
Sc4 0.8343 0.6657 0.0000  6 As 2.64-2.84
Re1 0.0000 0.0000 0.5000  4 As 2.57
Re2 0.5000 0.5000 0.5000  4 As 2.57
As1 0.1441 0.6441 0.5000  2 Re 2.57, 6 Sc 2.64-2.84, 1 As 2.73
As2 0.3559 0.1441 0.5000  2 Re 2.57, 6 Sc 2.64-2.84, 1 As 2.73
As3 0.6441 0.8559 0.5000  2 Re 2.57, 6 Sc 2.64-2.84, 1 As 2.73
As4 0.8559 0.3559 0.5000  2 Re 2.57, 6 Sc 2.64-2.84, 1 As 2.73

---

7.
Density functional theory data (GGA-PBE) for a geometry-optimized NbC3S structure.

Computed properties:
Magnetic moment: 0.00 μB per formula unit
Formation energy (no corrections): 10.3 eV per formula unit
Excess energy over the best structure of this formula in the dataset: 0.000 eV per atom

a b c (Å): 3.6499 3.6499 3.6499
angles (deg): 90.00 90.00 90.00
Closest atoms and distances in Å follow each position.
Sites, in units of the cell vectors:
Nb1 0.0000 0.0000 0.0000  12 C 2.58
C1 0.0000 0.5000 0.5000  2 S 1.82
C2 0.5000 0.0000 0.5000  2 S 1.82
C3 0.5000 0.5000 0.0000  2 S 1.82
S1 0.5000 0.5000 0.5000  6 C 1.82

---

8.
Density functional theory data (GGA-PBE) for a geometry-optimized Pm2Hg6Au structure.

Computed properties:
Magnetic moment: 0.00 μB per formula unit
Excess energy over the best structure of this formula in the dataset: 0.000 eV per atom
Formation enthalpy at 0 K: -0.322 eV per atom

a b c (Å): 7.5410 7.5410 7.7657
angles (deg): 110.78 110.78 33.30
Closest atoms and distances in Å follow each position.
Sites, in units of the cell vectors:
Pm1 0.0778 0.0778 0.3325  9 Hg 3.18-3.36, 2 Au 3.23
Pm2 0.9222 0.9222 0.6675  9 Hg 3.18-3.36, 2 Au 3.23
Hg1 0.1513 0.1513 0.9831  5 Hg 3.09-3.20, 2 Au 3.11, 2 Pm 3.26-3.31
Hg2 0.2704 0.2704 0.7076  5 Hg 3.12-3.20, 3 Pm 3.18-3.20, 1 Au 3.25
Hg3 0.3980 0.3980 0.3217  5 Hg 3.09-3.21, 1 Au 3.34, 4 Pm 3.36
Hg4 0.6020 0.6020 0.6783  5 Hg 3.09-3.21, 1 Au 3.34, 4 Pm 3.36
Hg5 0.7296 0.7296 0.2924  5 Hg 3.12-3.20, 3 Pm 3.18-3.20, 1 Au 3.25
Hg6 0.8487 0.8487 0.0169  5 Hg 3.09-3.20, 2 Au 3.11, 2 Pm 3.26-3.31
Au1 0.5000 0.5000 0.0000  8 Hg 3.11-3.34, 4 Pm 3.23